Record 1
A relaxed Tm3Tl2Pb crystal, computed with PBE.

## Properties
- formation energy (kJ per mole of atoms) = -29.8
- V (Å³/atom) = 26.8
- spin magnetization (μB per atom) = 0.014
- space-group type = P4/mmm (123)
- E_tot (eV per atom) = -3.95
- D(E_F) (states/eV per cell) = 4.92
- crystal system = tetragonal
- excess energy over the best structure of this formula in the dataset (meV per atom) = 9

Cell: 3.5320 3.5320 12.8685 Å, 90.00 90.00 90.00°
Closest atoms and distances in Å follow each position.
Positions (direct):
Tm 0.0000 0.0000 0.0000  8 Tl 3.28, 4 Tm 3.53
Tm 0.0000 0.0000 0.3291  4 Tl 3.27, 4 Pb 3.33, 4 Tm 3.53
Tm 0.0000 0.0000 0.6709  4 Tl 3.27, 4 Pb 3.33, 4 Tm 3.53
Tl 0.5000 0.5000 0.1649  8 Tm 3.27-3.28, 4 Tl 3.53
Tl 0.5000 0.5000 0.8351  8 Tm 3.27-3.28, 4 Tl 3.53
Pb 0.5000 0.5000 0.5000  8 Tm 3.33, 4 Pb 3.53

---

Record 2
A relaxed Tm5Tl2Pb crystal, computed with PBE.

## Properties
- formation energy (kJ per mole of atoms) = -31.9
- V (Å³/atom) = 28.0
- spin magnetization (μB per atom) = 0.000
- space-group type = I4/mcm (140)
- E_tot (eV per atom) = -4.18
- D(E_F) (states/eV per cell) = 13.61
- crystal system = tetragonal

Cell: 8.9237 8.9237 8.9237 Å, 126.07 126.07 79.77°
Closest atoms and distances in Å follow each position.
Positions (direct):
Tm 0.0000 0.0000 0.0000  4 Tl 3.12, 2 Pb 3.42
Tm 0.0020 0.5020 0.8086  3 Tl 3.13-3.18, 2 Pb 3.34, 1 Tm 3.46
Tm 0.1934 0.0020 0.5000  3 Tl 3.13-3.18, 2 Pb 3.34, 1 Tm 3.46
Tm 0.3066 0.8066 0.8086  3 Tl 3.13-3.18, 2 Pb 3.34, 1 Tm 3.46
Tm 0.4980 0.3066 0.5000  3 Tl 3.13-3.18, 2 Pb 3.34, 1 Tm 3.46
Tm 0.5000 0.5000 0.0000  4 Tl 3.12, 2 Pb 3.42
Tm 0.5020 0.6934 0.5000  3 Tl 3.13-3.18, 2 Pb 3.34, 1 Tm 3.46
Tm 0.6934 0.1934 0.1914  3 Tl 3.13-3.18, 2 Pb 3.34, 1 Tm 3.46
Tm 0.8066 0.9980 0.5000  3 Tl 3.13-3.18, 2 Pb 3.34, 1 Tm 3.46
Tm 0.9980 0.4980 0.1914  3 Tl 3.13-3.18, 2 Pb 3.34, 1 Tm 3.46
Tl 0.1414 0.3586 0.5000  8 Tm 3.12-3.18, 1 Tl 3.24
Tl 0.3586 0.8586 0.2173  8 Tm 3.12-3.18, 1 Tl 3.24
Tl 0.6414 0.1414 0.7827  8 Tm 3.12-3.18, 1 Tl 3.24
Tl 0.8586 0.6414 0.5000  8 Tm 3.12-3.18, 1 Tl 3.24
Pb 0.2500 0.2500 0.0000  10 Tm 3.34-3.42
Pb 0.7500 0.7500 0.0000  10 Tm 3.34-3.42

---

Record 3
A relaxed Tm12Tl3Pb crystal, computed with PBE.

## Properties
- formation energy (kJ per mole of atoms) = -17.4
- V (Å³/atom) = 27.5
- spin magnetization (μB per atom) = 0.004
- space-group type = P4/mmm (123)
- E_tot (eV per atom) = -4.21
- D(E_F) (states/eV per cell) = 21.26
- crystal system = tetragonal

Cell: 4.7892 4.7892 19.1857 Å, 90.00 90.00 90.00°
Closest atoms and distances in Å follow each position.
Positions (direct):
Tm 0.0000 0.0000 0.0000  4 Tl 3.39, 8 Tm 3.39
Tm 0.0000 0.0000 0.2502  8 Tm 3.38-3.39, 4 Tl 3.39
Tm 0.0000 0.0000 0.5000  4 Pb 3.39, 8 Tm 3.39
Tm 0.0000 0.0000 0.7498  8 Tm 3.38-3.39, 4 Tl 3.39
Tm 0.0000 0.5000 0.1252  4 Tl 3.37-3.39, 8 Tm 3.39
Tm 0.0000 0.5000 0.3747  8 Tm 3.38-3.39, 2 Pb 3.39, 2 Tl 3.40
Tm 0.0000 0.5000 0.6253  8 Tm 3.38-3.39, 2 Pb 3.39, 2 Tl 3.40
Tm 0.0000 0.5000 0.8748  4 Tl 3.37-3.39, 8 Tm 3.39
Tm 0.5000 0.0000 0.1252  4 Tl 3.37-3.39, 8 Tm 3.39
Tm 0.5000 0.0000 0.3747  8 Tm 3.38-3.39, 2 Pb 3.39, 2 Tl 3.40
Tm 0.5000 0.0000 0.6253  8 Tm 3.38-3.39, 2 Pb 3.39, 2 Tl 3.40
Tm 0.5000 0.0000 0.8748  4 Tl 3.37-3.39, 8 Tm 3.39
Tl 0.5000 0.5000 0.0000  12 Tm 3.39
Tl 0.5000 0.5000 0.2489  12 Tm 3.37-3.40
Tl 0.5000 0.5000 0.7511  12 Tm 3.37-3.40
Pb 0.5000 0.5000 0.5000  12 Tm 3.39